# 1
The following is a PBE calculation of crystalline NbSbSe4 at its relaxed geometry, from the Alexandria database.

Offset from the most stable computed form, meV/atom: 185
Raw formation energy, eV/atom: -0.318
Space group: P2_1/c, No. 14

Cell: 6.686 6.646 6.642 Å, 90.00 87.81 90.00°
Sites, in units of the cell vectors:
1 Se 0.656 0.148 0.894
2 Se 0.844 0.648 0.106
3 Se 0.390 0.385 0.352
4 Se 0.156 0.352 0.894
5 Se 0.890 0.115 0.352
6 Se 0.110 0.885 0.648
7 Se 0.610 0.615 0.648
8 Se 0.344 0.852 0.106
9 Sb 0.500 0.000 0.500
10 Sb 0.000 0.500 0.500
11 Nb 0.500 0.500 0.000
12 Nb 0.000 0.000 0.000


# 2
The following is a PBE calculation of crystalline Ac4BiSe2S at its relaxed geometry, from the Alexandria database.

Raw formation energy, eV/atom: -1.641
Space group: Imma, No. 74

Cell: 9.089 9.089 9.068 Å, 119.92 119.92 89.99°
Sites, in units of the cell vectors:
1 Ac 0.233 0.747 0.490
2 Ac 0.756 0.744 0.015
3 Ac 0.756 0.744 0.485
4 Ac 0.244 0.256 0.515
5 Ac 0.753 0.267 0.010
6 Ac 0.767 0.253 0.510
7 Ac 0.247 0.733 0.990
8 Ac 0.244 0.256 0.985
9 Se 0.500 0.000 0.500
10 Se 0.000 0.000 0.500
11 Se 0.500 0.000 0.000
12 Se 0.500 0.500 0.000
13 Bi 0.500 0.500 0.500
14 Bi 0.000 0.000 0.000
15 S 0.000 0.500 0.500
16 S 0.000 0.500 0.000


# 3
The following is a PBE calculation of crystalline TbPrSmIn at its relaxed geometry, from the Alexandria database.

E_form, eV/atom: -0.1063
Space group: F-43m, No. 216

Cell: 5.553 5.553 5.553 Å, 60.00 60.00 60.00°
Last column: magnetic moment on the atom in μB.
Sites, in units of the cell vectors:
1 Pr 0.000 0.000 0.000  0.34
2 Tb 0.250 0.250 0.250  0.28
3 In 0.500 0.500 0.500  0.00
4 Sm 0.750 0.750 0.750  0.21


# 4
The following is a PBE calculation of crystalline CaMoN3 at its relaxed geometry, from the Alexandria database.

Raw formation energy, eV/atom: -0.494
Space group: P1, No. 1

Cell: 6.038 3.563 7.013 Å, 104.41 98.50 90.65°
Sites, in units of the cell vectors:
1 Ca 0.642 0.267 0.705
2 Ca 0.711 0.012 0.200
3 N 0.770 0.616 0.480
4 N 0.863 0.932 0.899
5 N 0.195 0.178 0.635
6 N 0.059 0.815 0.940
7 N 0.504 0.429 0.027
8 N 0.133 0.473 0.264
9 Mo 0.080 0.622 0.514
10 Mo 0.207 0.350 0.974


# 5
The following is a PBE calculation of crystalline Ce7Pb2Au2 at its relaxed geometry, from the Alexandria database.

E_form, eV/atom: -0.1754
Space group: Cmmm, No. 65

Cell: 7.255 6.833 7.255 Å, 90.00 108.26 90.00°
Last column: magnetic moment on the atom in μB.
Sites, in units of the cell vectors:
1 Ce 0.500 0.209 0.500  0.86
2 Ce 0.500 0.299 0.000  0.79
3 Ce 0.500 0.701 0.000  0.79
4 Ce 0.500 0.791 0.500  0.86
5 Ce 0.000 0.299 0.500  0.79
6 Ce 0.000 0.000 0.000  0.95
7 Ce 0.000 0.701 0.500  0.79
8 Au 0.265 0.000 0.735  0.00
9 Au 0.735 0.000 0.265  0.00
10 Pb 0.182 0.500 0.182  -0.02
11 Pb 0.818 0.500 0.818  -0.02


# 6
The following is a PBE calculation of crystalline TlReBiRu2 at its relaxed geometry, from the Alexandria database.

E_form, eV/atom: 2.5334
Space group: P4/mmm, No. 123

Cell: 4.973 5.602 4.973 Å, 90.00 90.00 90.00°
Last column: magnetic moment on the atom in μB.
Sites, in units of the cell vectors:
1 Ru 0.500 0.000 0.000  -0.35
2 Ru 0.000 0.000 0.500  -0.35
3 Re 0.500 0.500 0.500  3.55
4 Tl 0.000 0.500 0.000  0.00
5 Bi 0.000 0.000 0.000  0.04


# 7
The following is a PBE calculation of crystalline ErB12 at its relaxed geometry, from the Alexandria database.

E_form, eV/atom: -0.2397
Space group: Fm-3m, No. 225

Cell: 5.290 5.290 5.290 Å, 60.00 60.00 60.00°
Sites, in units of the cell vectors:
1 B 0.838 0.162 0.500
2 B 0.500 0.500 0.838
3 B 0.500 0.838 0.162
4 B 0.162 0.500 0.500
5 B 0.162 0.500 0.838
6 B 0.500 0.162 0.838
7 B 0.162 0.838 0.500
8 B 0.838 0.500 0.162
9 B 0.500 0.838 0.500
10 B 0.500 0.162 0.500
11 B 0.838 0.500 0.500
12 B 0.500 0.500 0.162
13 Er 0.000 0.000 0.000


# 8
The following is a PBE calculation of crystalline HoEr2GaAu4 at its relaxed geometry, from the Alexandria database.

E_form, eV/atom: -0.7716
Space group: R-3m, No. 166

Cell: 4.943 4.943 8.695 Å, 73.49 73.49 60.00°
Sites, in units of the cell vectors:
1 Ga 0.500 0.500 0.500
2 Au 0.880 0.880 0.360
3 Au 0.632 0.632 0.103
4 Au 0.368 0.368 0.897
5 Au 0.120 0.120 0.640
6 Er 0.759 0.759 0.724
7 Er 0.241 0.241 0.276
8 Ho 0.000 0.000 0.000


# 9
The following is a PBE calculation of crystalline Na2AlPdO4 at its relaxed geometry, from the Alexandria database.

Raw formation energy, eV/atom: -1.648
Space group: P2/m, No. 10

Cell: 2.976 5.504 5.727 Å, 110.97 90.00 90.00°
Last column: magnetic moment on the atom in μB.
Sites, in units of the cell vectors:
1 Pd 0.500 0.500 0.000  0.40
2 Na 0.500 0.000 0.500  0.01
3 Na 0.000 0.500 0.500  0.00
4 O 0.000 0.242 0.815  0.04
5 O 0.500 0.200 0.206  0.12
6 O 0.000 0.758 0.185  0.04
7 O 0.500 0.800 0.794  0.12
8 Al 0.000 0.000 0.000  0.00


# 10
The following is a PBE calculation of crystalline LiPuH2O6 at its relaxed geometry, from the Alexandria database.

DFT total energy, eV/cell: -132.94
Space group: C2/c, No. 15

Cell: 5.483 6.606 6.606 Å, 86.90 84.75 84.75°
Last column: magnetic moment on the atom in μB.
Sites, in units of the cell vectors:
1 Li 0.750 0.089 0.911  0.00
2 Li 0.250 0.911 0.089  0.00
3 O 0.064 0.641 0.175  0.11
4 O 0.648 0.439 0.284  0.14
5 O 0.621 0.801 0.992  0.24
6 O 0.936 0.359 0.825  0.11
7 O 0.121 0.992 0.801  0.24
8 O 0.352 0.561 0.716  0.14
9 O 0.379 0.199 0.008  0.24
10 O 0.436 0.825 0.359  0.11
11 O 0.148 0.284 0.439  0.14
12 O 0.852 0.716 0.561  0.14
13 O 0.564 0.175 0.641  0.11
14 O 0.879 0.008 0.199  0.24
15 Pu 0.750 0.743 0.257  -0.17
16 Pu 0.250 0.257 0.743  -0.17
17 H 0.708 0.686 0.656  0.00
18 H 0.208 0.656 0.686  0.00
19 H 0.292 0.314 0.344  0.00
20 H 0.792 0.344 0.314  0.00


# 11
The following is a PBE calculation of crystalline PmBi2Pd at its relaxed geometry, from the Alexandria database.

Offset from the most stable computed form, meV/atom: 0
E_form, eV/atom: -0.5179
Space group: P4/mmm, No. 123

Cell: 4.311 4.896 4.896 Å, 90.00 90.00 90.00°
Sites, in units of the cell vectors:
1 Pd 0.500 0.000 0.000
2 Bi 0.000 0.000 0.500
3 Bi 0.000 0.500 0.000
4 Pm 0.500 0.500 0.500


# 12
The following is a PBE calculation of crystalline Cd2SbSe at its relaxed geometry, from the Alexandria database.

Raw formation energy, eV/atom: -0.183
Space group: R-3m, No. 166

Cell: 7.674 7.674 7.674 Å, 30.37 30.37 30.37°
Sites, in units of the cell vectors:
1 Se 0.750 0.750 0.750
2 Cd 0.007 0.007 0.007
3 Cd 0.493 0.493 0.493
4 Sb 0.250 0.250 0.250